{"formula": "HfAs2S2", "functional": "PBE", "state": "relaxed", "lattice": [[7.124, 0.000, 0.000], [0.000, 7.124, 0.000], [0.000, 0.000, 4.115]], "species": ["As", "Hf", "As", "S", "As", "S", "S", "As", "Hf", "S"], "frac_coords": [[0.856, 0.644, 0.000], [0.500, 0.500, 0.000], [0.356, 0.856, 0.000], [0.269, 0.231, 0.500], [0.644, 0.144, 0.000], [0.769, 0.269, 0.500], [0.731, 0.769, 0.500], [0.144, 0.356, 0.000], [0.000, 0.000, 0.000], [0.231, 0.731, 0.500]], "relative_energy_ev_per_fu": 0.00}